1.
This record from Alexandria via LeMat-Bulk describes a geometry-optimized MoAu2Se structure. The functional is PBE.

Geometry as POSCAR:
```
MoAu2Se
1.0
-3.835 3.835 2.626
3.835 -3.835 2.626
3.835 3.835 -2.626
Mo Au Se
2 4 2
direct
0.000 0.000 0.000 Mo
0.750 0.250 0.500 Mo
0.130 0.625 0.005 Au
0.375 0.380 0.505 Au
0.620 0.125 0.995 Au
0.875 0.870 0.495 Au
0.250 0.750 0.500 Se
0.500 0.500 0.000 Se
```

Properties
VASP energy (eV/atom): -4.775
Total moment (μB per formula unit): 1.93
Space-group type: I-42d, No. 122


2.
This record from Alexandria via LeMat-Bulk describes a geometry-optimized Mo2AuSe structure. The functional is PBE.

Geometry as POSCAR:
```
Mo2AuSe
1.0
3.246 0.000 0.000
0.000 4.527 0.000
0.000 0.000 4.626
Mo Au Se
2 1 1
direct
0.000 0.000 0.000 Mo
0.500 0.500 0.000 Mo
0.000 0.500 0.500 Au
0.500 0.000 0.500 Se
```

Properties
VASP energy (eV/atom): -6.544
Total moment (μB per formula unit): 0.00
Space-group type: Pmmm, No. 47


3.
This record from Alexandria via LeMat-Bulk describes a geometry-optimized MoAu3Se structure. The functional is PBE.

Geometry as POSCAR:
```
MoAu3Se
1.0
4.968 0.000 0.000
0.000 4.968 0.000
0.000 0.000 4.968
Mo Au Se
1 3 1
direct
0.000 0.000 0.000 Mo
0.000 0.500 0.500 Au
0.500 0.000 0.500 Au
0.500 0.500 0.000 Au
0.500 0.500 0.500 Se
```

Properties
VASP energy (eV/atom): -3.695
Offset from the most stable computed form (meV per atom): 0
Total moment (μB per formula unit): 4.20
Space-group type: Pm-3m, No. 221


4.
This record from Alexandria via LeMat-Bulk describes a geometry-optimized MoAuSe structure. The functional is PBE.

Geometry as POSCAR:
```
MoAuSe
1.0
0.000 2.394 7.537
1.619 0.000 7.537
1.619 2.394 0.000
Mo Au Se
1 1 1
direct
0.000 0.000 0.000 Mo
0.655 0.655 0.345 Au
0.372 0.372 0.628 Se
```

Properties
VASP energy (eV/atom): -5.550
Offset from the most stable computed form (meV per atom): 304
Total moment (μB per formula unit): 0.00
Space-group type: Fmm2, No. 42